A PBEsol-optimized structure of CoPOsCl2. Source: Alexandria, functional SCAN.

abc: 4.283 4.283 4.608
angles: 90.00 90.00 90.00
Last column: magnetic moment on the atom in μB.
Element x y z (fractional)
1 Co 0.000 0.000 0.000  1.00
2 Os 0.500 0.500 0.500  2.77
3 P 0.000 0.000 0.500  -0.06
4 Cl 0.000 0.500 0.000  0.11
5 Cl 0.500 0.000 0.000  0.11

Properties
E	-21.995	eV per atom
mass density	6.90	g/cm3
V	16.904	Å³ per atom